A plane-wave DFT calculation with GGA-PBEsol was carried out for a geometry-optimized Tc2AgW structure.

POSCAR file:
```
Tc2AgW
1.0
2.7577 0.0000 0.0000
0.0000 3.9280 0.0000
0.0000 0.0000 5.5403
Tc Ag W
2 1 1
Direct
0.0000 0.0000 0.0000
0.5000 0.5000 0.2136
0.5000 0.5000 0.7237
0.0000 0.0000 0.4515
```

* total magnetic moment: 0.0 μB per cell
* electronic total energy: -9.571 eV/atom

***

A plane-wave DFT calculation with GGA-PBEsol was carried out for a geometry-optimized LiHgIO2 structure.

POSCAR file:
```
LiHgIO2
1.0
4.1239 0.0000 0.0000
0.0000 4.1239 0.0000
0.0000 0.0000 6.4416
Li Hg I O
1 1 1 2
Direct
0.0000 0.0000 0.0000
0.5000 0.5000 0.5000
0.5000 0.5000 0.0000
0.0000 0.5000 0.5000
0.5000 0.0000 0.5000
```

* total magnetic moment: 1.1 μB per cell
* E_form (uncorrected): -0.022 eV/atom

***

A plane-wave DFT calculation with GGA-PBEsol was carried out for a geometry-optimized Mg2PHRu structure.

POSCAR file:
```
Mg2PHRu
1.0
5.0197 0.0000 0.0000
0.0000 5.0197 0.0000
0.0000 0.0000 3.0745
Mg P H Ru
2 1 1 1
Direct
0.0000 0.5000 0.0000
0.5000 0.0000 0.0000
0.0000 0.0000 0.0000
0.0000 0.0000 0.5000
0.5000 0.5000 0.5000
```

* total magnetic moment: 1.3 μB per cell
* electronic total energy: -4.047 eV/atom

***

A plane-wave DFT calculation with GGA-PBEsol was carried out for a geometry-optimized BaCdRe2 structure.

POSCAR file:
```
BaCdRe2
1.0
4.0916 0.0000 0.0000
0.0000 4.0916 0.0000
0.0000 0.0000 4.9524
Ba Cd Re
1 1 2
Direct
0.0000 0.0000 0.0000
0.5000 0.5000 0.0000
0.0000 0.5000 0.5000
0.5000 0.0000 0.5000
```

* total magnetic moment: 0.0 μB per cell
* electronic total energy: -5.933 eV/atom

***

Question: Look up the total magnetic moment of the fourth one.
Answer: 0.0 μB per cell

***

Question: What is the formula in the fourth record?
Answer: BaCdRe2

***

Question: total magnetic moment of number 4 (BaCdRe2)?
Answer: 0.0 μB per cell

***

Question: Number 1 is which compound?
Answer: Tc2AgW